1.
A plane-wave DFT calculation with PBE was carried out for crystalline NdPd2Pt4 at its relaxed geometry.

The structure belongs to space group C2/m (No. 12); the cell edges are 8.670, 6.840 and 5.341 Å and the angles 90.00°, 127.82° and 90.00°. Symmetry generates all atoms from Nd at (0.000, 0.000, 0.000), Pd at (0.001, 0.500, 0.751) and Pt at (0.196, 0.196, 0.695).

Its crystal system is monoclinic. The total magnetization is 0.00 μB per formula unit. For the energy relative to the lowest polymorph listed for this composition, the calculation gives 0 meV per atom. As for the total energy: -6.09 eV/atom. The value obtained for the density of states at the Fermi level is 23.36 states/eV per cell. The formation enthalpy at 0 K is -46.1 kJ per mole of atoms.

---

2.
A plane-wave DFT calculation with PBE was carried out for crystalline B2AsBrN at its relaxed geometry.

The structure belongs to space group P4/mmm (No. 123); the cell edges are 3.534, 3.534 and 8.577 Å and the angles 90.00°, 90.00° and 90.00°. Symmetry generates all atoms from B at (0.000, 0.500, 0.000), As at (0.000, 0.000, 0.500), Br at (0.500, 0.500, 0.500) and N at (0.000, 0.000, 0.000).

Its crystal system is tetragonal. The total magnetization is 0.04 μB per formula unit. The uncorrected formation energy is 1.83 eV/atom. As for the total energy: -3.77 eV/atom. The value obtained for the density of states at the Fermi level is 3.37 states/eV per cell.

---

3.
A plane-wave DFT calculation with PBE was carried out for crystalline MnCoW2 at its relaxed geometry.

The structure belongs to space group R3m (No. 160, hexagonal axes); the cell edges are 2.7495, 2.7495 and 26.2829 Å and the angles 90.00°, 90.00° and 120.00°. Symmetry generates all atoms from Mn at (0.0000, 0.0000, 0.0000), Co at (0.0000, 0.0000, 0.2596), W at (0.0000, 0.0000, 0.5126) and W at (0.0000, 0.0000, 0.7517).

Its crystal system is trigonal. The total magnetization is 3.97 μB per formula unit. For the energy relative to the lowest polymorph listed for this composition, the calculation gives 225 meV per atom. As for the total energy: -10.19 eV/atom. The value obtained for the density of states at the Fermi level is 14.60 states/eV per cell. The formation enthalpy at 0 K is 34.3 kJ per mole of atoms.

---

4.
A plane-wave DFT calculation with PBE was carried out for crystalline Sm2TmSc3Bi6 at its relaxed geometry.

The structure belongs to space group C2/m (No. 12); the cell edges are 7.614, 13.199 and 7.599 Å and the angles 90.00°, 109.55° and 90.00°. Symmetry generates all atoms from Sm at (0.000, 0.166, 0.000), Tm at (0.000, 0.500, 0.000), Sc at (0.000, 0.000, 0.500), Sc at (0.000, 0.330, 0.500), Bi at (0.238, 0.500, 0.731) and Bi at (0.248, 0.164, 0.734).

Its crystal system is monoclinic. The total magnetization is 0.00 μB per formula unit. As for the total energy: -5.44 eV/atom. The value obtained for the density of states at the Fermi level is 4.19 states/eV per cell. The formation enthalpy at 0 K is -73.4 kJ per mole of atoms.

---

5.
A plane-wave DFT calculation with PBE was carried out for crystalline CeMg2Ag at its relaxed geometry.

The structure belongs to space group R3m (No. 160, hexagonal axes); the cell edges are 3.0975, 3.0975 and 31.7257 Å and the angles 90.00°, 90.00° and 120.00°. Symmetry generates all atoms from Ce at (0.0000, 0.0000, 0.0000), Mg at (0.0000, 0.0000, 0.5731), Mg at (0.0000, 0.0000, 0.7596) and Ag at (0.0000, 0.0000, 0.1663).

Its crystal system is trigonal. The total magnetization is 0.00 μB per formula unit. As for the total energy: -3.04 eV/atom. The value obtained for the density of states at the Fermi level is 15.11 states/eV per cell. The formation enthalpy at 0 K is -4.3 kJ per mole of atoms.

---

6.
A plane-wave DFT calculation with PBE was carried out for crystalline CaTl2BiH at its relaxed geometry.

The structure belongs to space group P4/mmm (No. 123); the cell edges are 5.045, 5.045 and 4.997 Å and the angles 90.00°, 90.00° and 90.00°. Symmetry generates all atoms from Ca at (0.000, 0.000, 0.000), Tl at (0.000, 0.500, 0.500), Bi at (0.500, 0.500, 0.000) and H at (0.000, 0.000, 0.500).

Its crystal system is tetragonal. The total magnetization is 0.00 μB per formula unit. As for the total energy: -2.99 eV/atom. The value obtained for the density of states at the Fermi level is 0.93 states/eV per cell.

---

7.
A plane-wave DFT calculation with PBE was carried out for crystalline K3PuZn2O8 at its relaxed geometry.

The structure belongs to space group P-3m1 (No. 164); the cell edges are 5.8969, 5.8969 and 7.8390 Å and the angles 90.00°, 90.00° and 120.00°. Symmetry generates all atoms from K at (0.0000, 0.0000, 0.0000), K at (0.3333, 0.6667, 0.6671), Pu at (0.0000, 0.0000, 0.5000), Zn at (0.3333, 0.6667, 0.2376), O at (0.1596, 0.3191, 0.3506) and O at (0.3333, 0.6667, 0.9997).

Its crystal system is trigonal. The total magnetization is 2.42 μB per formula unit. The uncorrected formation energy is -1.58 eV/atom. As for the total energy: -5.85 eV/atom. The value obtained for the density of states at the Fermi level is 6.33 states/eV per cell.

---

8.
A plane-wave DFT calculation with PBE was carried out for crystalline Hf2MnCo2 at its relaxed geometry.

The structure belongs to space group P4/mbm (No. 127); the cell edges are 6.307, 6.307 and 3.872 Å and the angles 90.00°, 90.00° and 90.00°. Symmetry generates all atoms from Hf at (0.179, 0.321, 0.000), Mn at (0.000, 0.000, 0.500) and Co at (0.130, 0.630, 0.500).

Its crystal system is tetragonal. The total magnetization is 2.65 μB per formula unit. As for the total energy: -8.89 eV/atom. The value obtained for the density of states at the Fermi level is 11.37 states/eV per cell. The formation enthalpy at 0 K is -22.1 kJ per mole of atoms.

---

9.
A plane-wave DFT calculation with PBE was carried out for crystalline KAsCl2 at its relaxed geometry.

The structure belongs to space group P4/mmm (No. 123); the cell edges are 5.264, 5.264 and 3.398 Å and the angles 90.00°, 90.00° and 90.00°. Symmetry generates all atoms from K at (0.000, 0.000, 0.000), As at (0.500, 0.500, 0.000) and Cl at (0.000, 0.500, 0.500).

Its crystal system is tetragonal. The total magnetization is 0.01 μB per formula unit. The uncorrected formation energy is -0.55 eV/atom. For the energy relative to the lowest polymorph listed for this composition, the calculation gives 280 meV per atom. As for the total energy: -2.91 eV/atom. The value obtained for the density of states at the Fermi level is 2.94 states/eV per cell.

---

10.
A plane-wave DFT calculation with PBE was carried out for crystalline SrErGaO4 at its relaxed geometry.

The structure belongs to space group P2_1/m (No. 11); the cell edges are 5.696, 5.788 and 6.845 Å and the angles 90.00°, 108.31° and 90.00°. Symmetry generates all atoms from Sr at (0.220, 0.250, 0.439), Er at (0.311, 0.250, 0.964), Ga at (0.233, 0.750, 0.174), O at (0.010, 0.750, 0.913), O at (0.027, 0.750, 0.335) and O at (0.473, 0.514, 0.210).

Its crystal system is monoclinic. The total magnetization is 0.00 μB per formula unit. The uncorrected formation energy is -2.70 eV/atom. As for the total energy: -6.86 eV/atom. The value obtained for the density of states at the Fermi level is 0.00 states/eV per cell.

---

11.
A plane-wave DFT calculation with PBE was carried out for crystalline Rb2HgBr4 at its relaxed geometry.

The structure belongs to space group P2_1/m (No. 11); the cell edges are 7.980, 7.838 and 9.666 Å and the angles 90.00°, 108.04° and 90.00°. Symmetry generates all atoms from Rb at (0.221, 0.250, 0.057), Rb at (0.255, 0.250, 0.563), Hg at (0.233, 0.750, 0.804), Br at (0.001, 0.508, 0.258), Br at (0.420, 0.750, 0.084) and Br at (0.425, 0.750, 0.623).

Its crystal system is monoclinic. The total magnetization is 0.00 μB per formula unit. The uncorrected formation energy is -1.21 eV/atom. As for the total energy: -2.49 eV/atom. The value obtained for the density of states at the Fermi level is 0.00 states/eV per cell.

---

12.
A plane-wave DFT calculation with PBE was carried out for crystalline PtRh2Au at its relaxed geometry.

The structure belongs to space group P4/mmm (No. 123); the cell edges are 3.971, 3.971 and 3.924 Å and the angles 90.00°, 90.00° and 90.00°. Symmetry generates all atoms from Pt at (0.000, 0.000, 0.000), Rh at (0.000, 0.500, 0.500) and Au at (0.500, 0.500, 0.000).

Its crystal system is tetragonal. The total magnetization is 0.00 μB per formula unit. For the energy relative to the lowest polymorph listed for this composition, the calculation gives 69 meV per atom. As for the total energy: -5.88 eV/atom. The value obtained for the density of states at the Fermi level is 7.17 states/eV per cell. The formation enthalpy at 0 K is 12.2 kJ per mole of atoms.